# PBE-GGA ErAl2Cu5, relaxed
data_ErAl2Cu5
_cell_length_a 3.554
_cell_length_b 6.903
_cell_length_c 10.066
_cell_angle_alpha 90.00
_cell_angle_beta 90.00
_cell_angle_gamma 90.00
_space_group_name_H-M_alt 'P 1'
_space_group_IT_number 1
loop_
_space_group_symop_operation_xyz
'x,y,z'
loop_
_atom_site_label
_atom_site_fract_x
_atom_site_fract_y
_atom_site_fract_z
_atom_site_occupancy
Er1 0.000 0.000 0.000 1
Er2 0.500 0.500 0.500 1
Al1 0.000 0.500 0.249 1
Al2 0.000 0.500 0.751 1
Al3 0.500 0.000 0.251 1
Al4 0.500 0.000 0.749 1
Cu1 0.000 0.192 0.371 1
Cu2 0.000 0.192 0.629 1
Cu3 0.000 0.500 0.000 1
Cu4 0.000 0.808 0.371 1
Cu5 0.000 0.808 0.629 1
Cu6 0.500 0.000 0.500 1
Cu7 0.500 0.308 0.129 1
Cu8 0.500 0.308 0.871 1
Cu9 0.500 0.692 0.129 1
Cu10 0.500 0.692 0.871 1
# VASP energy: -4.256 eV per atom
# energy relative to the elements: -189.9 meV per atom
# density of states at the Fermi level: 3.2 states/eV/f.u.
# symmetry: No. 71

# PBE-GGA ErAl2Cu, relaxed
data_ErAl2Cu
_cell_length_a 3.123
_cell_length_b 3.123
_cell_length_c 7.274
_cell_angle_alpha 90.00
_cell_angle_beta 90.00
_cell_angle_gamma 90.00
_space_group_name_H-M_alt 'P 1'
_space_group_IT_number 1
loop_
_space_group_symop_operation_xyz
'x,y,z'
loop_
_atom_site_label
_atom_site_fract_x
_atom_site_fract_y
_atom_site_fract_z
_atom_site_occupancy
Er1 0.000 0.000 0.000 1
Al1 0.500 0.500 0.304 1
Al2 0.500 0.500 0.696 1
Cu1 0.000 0.000 0.500 1
# VASP energy: -4.303 eV per atom
# energy relative to the elements: -266.9 meV per atom
# density of states at the Fermi level: 2.0 states/eV/f.u.
# symmetry: No. 123

# PBE-GGA Er12AlCu6, relaxed
data_Er12AlCu6
_cell_length_a 8.418
_cell_length_b 8.418
_cell_length_c 8.418
_cell_angle_alpha 109.47
_cell_angle_beta 109.47
_cell_angle_gamma 109.47
_space_group_name_H-M_alt 'P 1'
_space_group_IT_number 1
loop_
_space_group_symop_operation_xyz
'x,y,z'
loop_
_atom_site_label
_atom_site_fract_x
_atom_site_fract_y
_atom_site_fract_z
_atom_site_occupancy
Er1 0.107 0.295 0.812 1
Er2 0.188 0.482 0.295 1
Er3 0.188 0.893 0.705 1
Er4 0.295 0.188 0.482 1
Er5 0.295 0.812 0.107 1
Er6 0.482 0.295 0.188 1
Er7 0.518 0.705 0.812 1
Er8 0.705 0.188 0.893 1
Er9 0.705 0.812 0.518 1
Er10 0.812 0.107 0.295 1
Er11 0.812 0.518 0.705 1
Er12 0.893 0.705 0.188 1
Al1 0.000 0.000 0.000 1
Cu1 0.125 0.500 0.625 1
Cu2 0.375 0.875 0.500 1
Cu3 0.500 0.375 0.875 1
Cu4 0.500 0.625 0.125 1
Cu5 0.625 0.125 0.500 1
Cu6 0.875 0.500 0.375 1
# VASP energy: -4.574 eV per atom
# energy relative to the elements: -201.9 meV per atom
# density of states at the Fermi level: 10.6 states/eV/f.u.
# symmetry: No. 204

# PBE-GGA ErAl2Cu, relaxed
data_ErAl2Cu
_cell_length_a 4.140
_cell_length_b 4.140
_cell_length_c 4.256
_cell_angle_alpha 90.00
_cell_angle_beta 90.00
_cell_angle_gamma 90.00
_space_group_name_H-M_alt 'P 1'
_space_group_IT_number 1
loop_
_space_group_symop_operation_xyz
'x,y,z'
loop_
_atom_site_label
_atom_site_fract_x
_atom_site_fract_y
_atom_site_fract_z
_atom_site_occupancy
Er1 0.000 0.000 0.000 1
Al1 0.000 0.500 0.500 1
Al2 0.500 0.000 0.500 1
Cu1 0.500 0.500 0.000 1
# VASP energy: -4.320 eV per atom
# energy relative to the elements: -284.1 meV per atom
# density of states at the Fermi level: 1.9 states/eV/f.u.
# symmetry: No. 123

# PBE-GGA ErAlCu4, relaxed
data_ErAlCu4
_cell_length_a 5.156
_cell_length_b 5.156
_cell_length_c 4.021
_cell_angle_alpha 90.00
_cell_angle_beta 90.00
_cell_angle_gamma 120.00
_space_group_name_H-M_alt 'P 1'
_space_group_IT_number 1
loop_
_space_group_symop_operation_xyz
'x,y,z'
loop_
_atom_site_label
_atom_site_fract_x
_atom_site_fract_y
_atom_site_fract_z
_atom_site_occupancy
Er1 0.000 0.000 0.000 1
Al1 0.333 0.667 0.000 1
Cu1 0.501 0.002 0.500 1
Cu2 0.501 0.499 0.500 1
Cu3 0.667 0.333 0.000 1
Cu4 0.998 0.499 0.500 1
# VASP energy: -4.375 eV per atom
# energy relative to the elements: -260.2 meV per atom
# density of states at the Fermi level: 2.9 states/eV/f.u.
# symmetry: No. 187

# PBE-GGA Er2AlCu4, relaxed
data_Er2AlCu4
_cell_length_a 4.449
_cell_length_b 4.449
_cell_length_c 14.346
_cell_angle_alpha 90.00
_cell_angle_beta 90.00
_cell_angle_gamma 90.00
_space_group_name_H-M_alt 'P 1'
_space_group_IT_number 1
loop_
_space_group_symop_operation_xyz
'x,y,z'
loop_
_atom_site_label
_atom_site_fract_x
_atom_site_fract_y
_atom_site_fract_z
_atom_site_occupancy
Er1 0.000 0.000 0.139 1
Er2 0.000 0.000 0.861 1
Er3 0.500 0.500 0.361 1
Er4 0.500 0.500 0.639 1
Al1 0.000 0.000 0.500 1
Al2 0.500 0.500 0.000 1
Cu1 0.000 0.000 0.334 1
Cu2 0.000 0.000 0.666 1
Cu3 0.000 0.500 0.000 1
Cu4 0.000 0.500 0.500 1
Cu5 0.500 0.000 0.000 1
Cu6 0.500 0.000 0.500 1
Cu7 0.500 0.500 0.166 1
Cu8 0.500 0.500 0.834 1
# VASP energy: -4.046 eV per atom
# energy relative to the elements: 133.0 meV per atom
# density of states at the Fermi level: 4.0 states/eV/f.u.
# symmetry: No. 139

# PBE-GGA Er6Al7Cu16, relaxed
data_Er6Al7Cu16
_cell_length_a 8.678
_cell_length_b 8.678
_cell_length_c 8.678
_cell_angle_alpha 60.00
_cell_angle_beta 60.00
_cell_angle_gamma 60.00
_space_group_name_H-M_alt 'P 1'
_space_group_IT_number 1
loop_
_space_group_symop_operation_xyz
'x,y,z'
loop_
_atom_site_label
_atom_site_fract_x
_atom_site_fract_y
_atom_site_fract_z
_atom_site_occupancy
Er1 0.211 0.211 0.789 1
Er2 0.211 0.789 0.211 1
Er3 0.211 0.789 0.789 1
Er4 0.789 0.211 0.211 1
Er5 0.789 0.211 0.789 1
Er6 0.789 0.789 0.211 1
Al1 0.000 0.000 0.500 1
Al2 0.000 0.500 0.000 1
Al3 0.000 0.500 0.500 1
Al4 0.500 0.000 0.000 1
Al5 0.500 0.000 0.500 1
Al6 0.500 0.500 0.000 1
Al7 0.500 0.500 0.500 1
Cu1 0.136 0.621 0.621 1
Cu2 0.173 0.173 0.173 1
Cu3 0.173 0.173 0.481 1
Cu4 0.173 0.481 0.173 1
Cu5 0.379 0.379 0.379 1
Cu6 0.379 0.379 0.864 1
Cu7 0.379 0.864 0.379 1
Cu8 0.481 0.173 0.173 1
Cu9 0.519 0.827 0.827 1
Cu10 0.621 0.136 0.621 1
Cu11 0.621 0.621 0.136 1
Cu12 0.621 0.621 0.621 1
Cu13 0.827 0.519 0.827 1
Cu14 0.827 0.827 0.519 1
Cu15 0.827 0.827 0.827 1
Cu16 0.864 0.379 0.379 1
# VASP energy: -4.488 eV per atom
# energy relative to the elements: -381.1 meV per atom
# density of states at the Fermi level: 18.7 states/eV/f.u.
# symmetry: No. 225

# PBE-GGA Er2AlCu7, relaxed
data_Er2AlCu7
_cell_length_a 3.771
_cell_length_b 3.771
_cell_length_c 11.291
_cell_angle_alpha 90.00
_cell_angle_beta 90.00
_cell_angle_gamma 90.00
_space_group_name_H-M_alt 'P 1'
_space_group_IT_number 1
loop_
_space_group_symop_operation_xyz
'x,y,z'
loop_
_atom_site_label
_atom_site_fract_x
_atom_site_fract_y
_atom_site_fract_z
_atom_site_occupancy
Er1 0.000 0.500 0.246 1
Er2 0.500 0.000 0.754 1
Al1 0.000 0.000 0.500 1
Cu1 0.000 0.000 0.000 1
Cu2 0.000 0.500 0.646 1
Cu3 0.000 0.500 0.861 1
Cu4 0.500 0.000 0.139 1
Cu5 0.500 0.000 0.354 1
Cu6 0.500 0.500 0.000 1
Cu7 0.500 0.500 0.500 1
# VASP energy: -4.361 eV per atom
# energy relative to the elements: -206.8 meV per atom
# density of states at the Fermi level: 6.2 states/eV/f.u.
# symmetry: No. 115

# PBE-GGA Er4AlCu2, relaxed
data_Er4AlCu2
_cell_length_a 8.846
_cell_length_b 8.846
_cell_length_c 8.846
_cell_angle_alpha 31.89
_cell_angle_beta 31.89
_cell_angle_gamma 31.89
_space_group_name_H-M_alt 'P 1'
_space_group_IT_number 1
loop_
_space_group_symop_operation_xyz
'x,y,z'
loop_
_atom_site_label
_atom_site_fract_x
_atom_site_fract_y
_atom_site_fract_z
_atom_site_occupancy
Er1 0.121 0.121 0.121 1
Er2 0.292 0.292 0.292 1
Er3 0.708 0.708 0.708 1
Er4 0.879 0.879 0.879 1
Al1 0.500 0.500 0.500 1
Cu1 0.404 0.404 0.404 1
Cu2 0.596 0.596 0.596 1
# VASP energy: -4.412 eV per atom
# ΔE to the lowest computed polymorph: 51.9 kJ/mol of formula units
# energy relative to the elements: -100.0 meV per atom
# density of states at the Fermi level: 6.6 states/eV/f.u.
# symmetry: No. 166

# PBE-GGA Er3Al3Cu, relaxed
data_Er3Al3Cu
_cell_length_a 5.762
_cell_length_b 5.762
_cell_length_c 14.232
_cell_angle_alpha 108.68
_cell_angle_beta 108.68
_cell_angle_gamma 44.77
_space_group_name_H-M_alt 'P 1'
_space_group_IT_number 1
loop_
_space_group_symop_operation_xyz
'x,y,z'
loop_
_atom_site_label
_atom_site_fract_x
_atom_site_fract_y
_atom_site_fract_z
_atom_site_occupancy
Er1 0.032 0.032 0.383 1
Er2 0.100 0.100 0.920 1
Er3 0.246 0.246 0.229 1
Er4 0.754 0.754 0.771 1
Er5 0.900 0.900 0.080 1
Er6 0.968 0.968 0.617 1
Al1 0.360 0.360 0.459 1
Al2 0.389 0.389 0.924 1
Al3 0.458 0.458 0.762 1
Al4 0.542 0.542 0.238 1
Al5 0.611 0.611 0.076 1
Al6 0.640 0.640 0.541 1
Cu1 0.251 0.251 0.603 1
Cu2 0.749 0.749 0.397 1
# VASP energy: -4.536 eV per atom
# energy relative to the elements: -391.2 meV per atom
# density of states at the Fermi level: 5.4 states/eV/f.u.
# symmetry: No. 12

# PBE-GGA ErAl4Cu4, relaxed
data_ErAl4Cu4
_cell_length_a 6.169
_cell_length_b 6.169
_cell_length_c 6.169
_cell_angle_alpha 97.20
_cell_angle_beta 97.20
_cell_angle_gamma 138.53
_space_group_name_H-M_alt 'P 1'
_space_group_IT_number 1
loop_
_space_group_symop_operation_xyz
'x,y,z'
loop_
_atom_site_label
_atom_site_fract_x
_atom_site_fract_y
_atom_site_fract_z
_atom_site_occupancy
Er1 0.000 0.000 0.000 1
Al1 0.097 0.629 0.726 1
Al2 0.371 0.097 0.468 1
Al3 0.629 0.903 0.532 1
Al4 0.903 0.371 0.274 1
Cu1 0.286 0.383 0.669 1
Cu2 0.383 0.714 0.098 1
Cu3 0.617 0.286 0.902 1
Cu4 0.714 0.617 0.331 1
# VASP energy: -4.159 eV per atom
# energy relative to the elements: -168.6 meV per atom
# density of states at the Fermi level: 2.6 states/eV/f.u.
# symmetry: No. 87